Entry 1:
# CaTaC3

A PBEsol-optimized structure of CaTaC3 (SCAN, Alexandria via LeMat-Bulk).

a = 3.965 Å, b = 3.965 Å, c = 3.965 Å
α = 90.00°, β = 90.00°, γ = 90.00°
Element x y z (fractional)
1 Ca 0.000 0.000 0.000
2 Ta 0.500 0.500 0.500
3 C 0.000 0.000 0.500
4 C 0.000 0.500 0.000
5 C 0.500 0.000 0.000

## Properties
- space group = Pm-3m (221)
- formation enthalpy at 0 K (eV/f.u.) = 16.171

Entry 2:
# NiRuPt

A PBEsol-optimized structure of NiRuPt (SCAN, Alexandria via LeMat-Bulk).

a = 5.788 Å, b = 5.788 Å, c = 5.788 Å
α = 153.40°, β = 153.40°, γ = 37.97°
Element x y z (fractional)
1 Ni 0.000 0.000 0.000
2 Ru 0.347 0.347 0.000
3 Pt 0.670 0.670 0.000

## Properties
- space group = I4mm (107)
- energy above the most stable polymorph in this dataset (meV per atom) = 0
- formation enthalpy at 0 K (eV/f.u.) = 0.077

no.,electronic total energy (eV/atom)
1,-18.08
2,-40.37